Record 1
Material: Zr2MnRh
Method: DFT, PBEsol
State: relaxed

Magnetization = 0.66 μB per atom
Energy of formation from the pure elements = -0.165 eV per atom

```
16
Lattice="6.394 0.000 0.000 0.000 6.394 0.000 0.000 0.000 6.394" Properties=species:S:1:pos:R:3 pbc="T T T"
Zr 0.000 0.000 0.000
Zr 0.000 3.197 3.197
Zr 1.598 1.598 1.598
Zr 1.598 4.795 4.795
Zr 3.197 0.000 3.197
Zr 3.197 3.197 0.000
Zr 4.795 1.598 4.795
Zr 4.795 4.795 1.598
Mn 1.598 1.598 4.795
Mn 1.598 4.795 1.598
Mn 4.795 1.598 1.598
Mn 4.795 4.795 4.795
Rh 0.000 0.000 3.197
Rh 0.000 3.197 0.000
Rh 3.197 0.000 0.000
Rh 3.197 3.197 3.197
```

=====

Record 2
Material: Mn3Ru
Method: DFT, PBEsol
State: relaxed

Magnetization = 0.00 μB per atom
Energy of formation from the pure elements = 0.073 eV per atom

```
16
Lattice="4.394 0.000 0.000 0.000 8.029 0.000 0.000 0.000 5.048" Properties=species:S:1:pos:R:3 pbc="T T T"
Mn 0.366 2.007 0.642
Mn 1.062 4.057 4.402
Mn 1.062 7.986 4.402
Mn 1.135 0.043 1.878
Mn 1.135 3.972 1.878
Mn 1.831 6.022 3.166
Mn 2.563 2.007 1.882
Mn 3.258 4.057 3.170
Mn 3.258 7.986 3.170
Mn 3.332 0.043 0.646
Mn 3.332 3.972 0.646
Mn 4.027 6.022 4.406
Ru 0.341 2.007 3.125
Ru 1.856 6.022 0.601
Ru 2.538 2.007 4.447
Ru 4.053 6.022 1.923
```

=====

Question: Number 2 is which compound?
Answer: Mn3Ru